GGA-PBE CdInGe3, relaxed; formation enthalpy at 0 K = 0.751 eV/atom; energy above the most stable polymorph in this dataset = 0.000 eV/atom; DFT total energy = -2.750 eV/atom
1.0
5.1963 0.0000 0.0000
0.0000 5.1963 0.0000
0.0000 0.0000 5.1963
Cd In Ge
1 1 3
direct
0.0000 0.0000 0.0000
0.5000 0.5000 0.5000
0.0000 0.0000 0.5000
0.0000 0.5000 0.0000
0.5000 0.0000 0.0000


GGA-PBE CdIn2Ge2, relaxed; formation enthalpy at 0 K = 0.157 eV/atom; energy above the most stable polymorph in this dataset = 0.003 eV/atom; DFT total energy = -2.968 eV/atom
1.0
-1.8881 1.8881 8.6953
1.8881 -1.8881 8.6953
1.8881 1.8881 -8.6953
Cd In Ge
1 2 2
direct
0.0000 0.0000 0.0000
0.3935 0.3935 0.0000
0.6065 0.6065 0.0000
0.2500 0.7500 0.5000
0.7500 0.2500 0.5000


GGA-PBE Cd2InGe, relaxed; formation enthalpy at 0 K = 0.160 eV/atom; energy above the most stable polymorph in this dataset = 0.023 eV/atom; DFT total energy = -2.137 eV/atom
1.0
0.0000 3.6057 3.6057
3.6057 0.0000 3.6057
3.6057 3.6057 0.0000
Cd In Ge
2 1 1
direct
0.2500 0.2500 0.2500
0.7500 0.7500 0.7500
0.0000 0.0000 0.0000
0.5000 0.5000 0.5000


GGA-PBE CdInGe2, relaxed; formation enthalpy at 0 K = 0.247 eV/atom; DFT total energy = -2.975 eV/atom
1.0
-3.9476 3.9476 2.9324
3.9476 -3.9476 2.9324
3.9476 3.9476 -2.9324
Cd In Ge
2 2 4
direct
0.0000 0.0000 0.0000
0.7500 0.2500 0.5000
0.2500 0.7500 0.5000
0.5000 0.5000 0.0000
0.1256 0.1250 0.5006
0.3750 0.8744 0.9994
0.6244 0.6250 0.4994
0.8750 0.3756 0.0006


GGA-PBE Cd2InGe, relaxed; formation enthalpy at 0 K = 0.154 eV/atom; energy above the most stable polymorph in this dataset = 0.017 eV/atom; DFT total energy = -2.142 eV/atom
1.0
3.7667 0.0000 0.0000
0.0000 3.7667 0.0000
0.0000 0.0000 6.5634
Cd In Ge
2 1 1
direct
0.0000 0.0000 0.2324
0.0000 0.0000 0.7677
0.5000 0.5000 0.5000
0.5000 0.5000 0.0000


GGA-PBE CdIn2Ge2, relaxed; formation enthalpy at 0 K = 0.219 eV/atom; energy above the most stable polymorph in this dataset = 0.064 eV/atom; DFT total energy = -2.907 eV/atom
1.0
8.6608 0.0000 0.0000
0.0000 8.6608 0.0000
0.0000 0.0000 3.2071
Cd In Ge
2 4 4
direct
0.0000 0.0000 0.0000
0.5000 0.5000 0.0000
0.1585 0.3415 0.0000
0.3415 0.8415 0.0000
0.6585 0.1585 0.0000
0.8415 0.6585 0.0000
0.1355 0.6355 0.5000
0.3645 0.1355 0.5000
0.6355 0.8645 0.5000
0.8645 0.3645 0.5000


GGA-PBE Cd3In12Ge5, relaxed; formation enthalpy at 0 K = 0.148 eV/atom; DFT total energy = -2.786 eV/atom
1.0
-8.2954 8.2954 8.2954
8.2954 -8.2954 8.2954
8.2954 8.2954 -8.2954
Cd In Ge
12 48 20
direct
0.1250 0.2500 0.3750
0.1250 0.3750 0.7500
0.2500 0.3750 0.1250
0.2500 0.8750 0.6250
0.3750 0.1250 0.2500
0.3750 0.7500 0.1250
0.6250 0.2500 0.8750
0.6250 0.8750 0.7500
0.7500 0.1250 0.3750
0.7500 0.6250 0.8750
0.8750 0.6250 0.2500
0.8750 0.7500 0.6250
0.0520 0.2264 0.1216
0.0520 0.3256 0.9304
0.0696 0.6216 0.3952
0.0696 0.9480 0.6744
0.1048 0.7264 0.6744
0.1048 0.8784 0.4304
0.1216 0.0520 0.2264
0.1216 0.5696 0.8952
0.1744 0.2264 0.6048
0.1744 0.4480 0.5696
0.2264 0.1216 0.0520
0.2264 0.6048 0.1744
0.2736 0.3256 0.8952
0.2736 0.4480 0.3784
0.3256 0.8952 0.2736
0.3256 0.9304 0.0520
0.3784 0.2736 0.4480
0.3784 0.6048 0.9304
0.3952 0.0696 0.6216
0.3952 0.8256 0.7736
0.4304 0.1048 0.8784
0.4304 0.8256 0.5520
0.4480 0.3784 0.2736
0.4480 0.5696 0.1744
0.5520 0.4304 0.8256
0.5520 0.6216 0.7264
0.5696 0.1744 0.4480
0.5696 0.8952 0.1216
0.6048 0.1744 0.2264
0.6048 0.9304 0.3784
0.6216 0.3952 0.0696
0.6216 0.7264 0.5520
0.6744 0.0696 0.9480
0.6744 0.1048 0.7264
0.7264 0.5520 0.6216
0.7264 0.6744 0.1048
0.7736 0.3952 0.8256
0.7736 0.8784 0.9480
0.8256 0.5520 0.4304
0.8256 0.7736 0.3952
0.8784 0.4304 0.1048
0.8784 0.9480 0.7736
0.8952 0.1216 0.5696
0.8952 0.2736 0.3256
0.9304 0.0520 0.3256
0.9304 0.3784 0.6048
0.9480 0.6744 0.0696
0.9480 0.7736 0.8784
0.0000 0.0000 0.0000
0.0000 0.0000 0.5000
0.0000 0.5000 0.0000
0.0000 0.5000 0.5000
0.1250 0.7500 0.8750
0.1250 0.8750 0.2500
0.2500 0.1250 0.8750
0.2500 0.6250 0.3750
0.3750 0.2500 0.6250
0.3750 0.6250 0.7500
0.5000 0.0000 0.0000
0.5000 0.0000 0.5000
0.5000 0.5000 0.0000
0.5000 0.5000 0.5000
0.6250 0.3750 0.2500
0.6250 0.7500 0.3750
0.7500 0.3750 0.6250
0.7500 0.8750 0.1250
0.8750 0.1250 0.7500
0.8750 0.2500 0.1250


GGA-PBE Cd11In17Ge, relaxed; formation enthalpy at 0 K = 0.036 eV/atom; DFT total energy = -2.076 eV/atom
1.0
5.6860 -8.2711 0.0000
5.6860 8.2711 0.0000
-5.5951 0.0000 7.8555
Cd In Ge
11 17 1
direct
0.0000 0.0000 0.0000
0.0222 0.8349 0.4722
0.0272 0.3947 0.6600
0.1990 0.3846 0.2159
0.2156 0.5882 0.0449
0.3846 0.1990 0.2159
0.3947 0.0272 0.6600
0.4003 0.5834 0.8496
0.5834 0.4003 0.8496
0.5882 0.2156 0.0449
0.8349 0.0222 0.4722
0.2012 0.8931 0.2520
0.2040 0.2040 0.8438
0.2061 0.8689 0.8412
0.2090 0.2090 0.4975
0.2088 0.6133 0.5331
0.4914 0.8093 0.4452
0.5162 0.9288 0.1553
0.5208 0.5208 0.5656
0.5407 0.5407 0.1883
0.6095 0.9006 0.8449
0.6133 0.2088 0.5331
0.7965 0.7965 0.1207
0.8093 0.4914 0.4452
0.8689 0.2061 0.8412
0.8931 0.2012 0.2520
0.9006 0.6095 0.8449
0.9288 0.5162 0.1553
0.8035 0.8035 0.6250


GGA-PBE CdIn2Ge2, relaxed; formation enthalpy at 0 K = 0.154 eV/atom; energy above the most stable polymorph in this dataset = 0.000 eV/atom; DFT total energy = -2.971 eV/atom
1.0
7.5473 0.0000 0.0000
0.0000 7.5473 0.0000
0.0000 0.0000 4.2210
Cd In Ge
2 4 4
direct
0.0000 0.0000 0.0000
0.5000 0.5000 0.0000
0.1743 0.3257 0.5000
0.3257 0.8257 0.5000
0.6743 0.1743 0.5000
0.8257 0.6743 0.5000
0.1268 0.6268 0.0000
0.3732 0.1268 0.0000
0.6268 0.8732 0.0000
0.8732 0.3732 0.0000


GGA-PBE Cd2InGe, relaxed; formation enthalpy at 0 K = 0.139 eV/atom; energy above the most stable polymorph in this dataset = 0.002 eV/atom; DFT total energy = -2.157 eV/atom
1.0
2.2587 1.3041 5.7459
-2.2587 1.3041 5.7459
0.0000 -2.6081 5.7459
Cd In Ge
2 1 1
direct
0.0000 0.0000 0.0000
0.1946 0.1946 0.1946
0.4245 0.4245 0.4245
0.5963 0.5963 0.5963


GGA-PBE Cd3In12Ge, relaxed; formation enthalpy at 0 K = 0.051 eV/atom; DFT total energy = -2.463 eV/atom
1.0
4.7843 0.0000 0.0000
0.0000 4.7843 0.0000
0.0000 0.0000 18.1042
Cd In Ge
3 12 1
direct
0.0000 0.0000 0.0000
0.0000 0.0000 0.2516
0.0000 0.0000 0.7484
0.0000 0.5000 0.1265
0.0000 0.5000 0.3804
0.0000 0.5000 0.6196
0.0000 0.5000 0.8735
0.5000 0.0000 0.1265
0.5000 0.0000 0.3804
0.5000 0.0000 0.6196
0.5000 0.0000 0.8735
0.5000 0.5000 0.0000
0.5000 0.5000 0.2535
0.5000 0.5000 0.5000
0.5000 0.5000 0.7465
0.0000 0.0000 0.5000


GGA-PBE Cd2InGe, relaxed; formation enthalpy at 0 K = 0.150 eV/atom; energy above the most stable polymorph in this dataset = 0.013 eV/atom; DFT total energy = -2.146 eV/atom
1.0
-2.1376 2.1376 10.5012
2.1376 -2.1376 10.5012
2.1376 2.1376 -10.5012
Cd In Ge
4 2 2
direct
0.1183 0.6250 0.9933
0.3750 0.3683 0.4933
0.6317 0.1250 0.0067
0.8750 0.8817 0.5067
0.2500 0.7500 0.5000
0.5000 0.5000 0.0000
0.0000 0.0000 0.0000
0.7500 0.2500 0.5000


Number 1: total moment 0.000 μB per formula unit. Number 2: total moment 0.000 μB per formula unit. Number 3: total moment 0.000 μB per formula unit. Number 4: total moment 0.000 μB per formula unit. Number 5: total moment 0.000 μB per formula unit. Number 6: total moment 0.000 μB per formula unit. Number 7: total moment 0.000 μB per formula unit. Number 8: total moment 0.000 μB per formula unit. Number 9: total moment 0.000 μB per formula unit. Number 10: total moment 0.000 μB per formula unit. Number 11: total moment 0.000 μB per formula unit. Number 12: total moment 0.000 μB per formula unit.